No. 1
# SmDyGa5

Crystalline SmDyGa5 at its relaxed geometry (PBE, OQMD via LeMat-Bulk).

Cell lengths 4.285, 4.285, 8.293 Å; angles 90.00, 90.00, 90.00 degrees
Space group P4/mmm (No. 123)
Symmetry-distinct sites (fractional):
Sm: 0.000 0.000 0.000 (multiplicity 1)
Dy: 0.000 0.000 0.500 (multiplicity 1)
Ga: 0.000 0.500 0.258 (multiplicity 4)
Ga: 0.500 0.500 0.000 (multiplicity 1)

Output
total magnetic moment: 0.0013 μB per atom
final energy: -3.906 eV/atom

No. 2
# K3IrN

Crystalline K3IrN at its relaxed geometry (PBE, OQMD via LeMat-Bulk).

Cell lengths 5.329, 5.329, 5.329 Å; angles 90.00, 90.00, 90.00 degrees
Space group Pm-3m (No. 221)
Symmetry-distinct sites (fractional):
K: 0.000 0.000 0.500 (multiplicity 3)
Ir: 0.500 0.500 0.500 (multiplicity 1)
N: 0.000 0.000 0.000 (multiplicity 1)

Output
total magnetic moment: 0.5993 μB per atom
final energy: -2.965 eV/atom

No. 3
# U2Al2Fe3

Crystalline U2Al2Fe3 at its relaxed geometry (PBE, OQMD via LeMat-Bulk).

Cell lengths 11.520, 4.266, 4.717 Å; angles 90.00, 96.42, 90.00 degrees
Space group C2/m (No. 12)
Symmetry-distinct sites (fractional):
U: 0.148 0.000 0.364 (multiplicity 4)
Al: 0.090 0.500 0.849 (multiplicity 4)
Fe: 0.000 0.000 0.000 (multiplicity 2)
Fe: 0.206 0.000 0.811 (multiplicity 4)

Output
total magnetic moment: 0.0092 μB per atom
final energy: -8.180 eV/atom

No. 4
# PrGdAsO

Crystalline PrGdAsO at its relaxed geometry (PBE, OQMD via LeMat-Bulk).

Cell lengths 4.348, 7.699, 6.174 Å; angles 90.00, 90.00, 90.00 degrees
Space group Pmc2_1 (No. 26)
Symmetry-distinct sites (fractional):
Pr: 0.000 0.202 0.000 (multiplicity 2)
Gd: 0.500 0.392 0.581 (multiplicity 2)
As: 0.000 0.177 0.493 (multiplicity 2)
O: 0.500 0.336 0.937 (multiplicity 2)

Output
total magnetic moment: 0.0029 μB per atom
E above lowest polymorph: 0.000 eV/atom

No. 5
# ZnCdP2

Crystalline ZnCdP2 at its relaxed geometry (PBE, OQMD via LeMat-Bulk).

Cell lengths 5.704, 5.704, 10.988 Å; angles 90.00, 90.00, 90.00 degrees
Space group I-42d (No. 122)
Symmetry-distinct sites (fractional):
Zn: 0.000 0.000 0.000 (multiplicity 4)
Cd: 0.000 0.000 0.500 (multiplicity 4)
P: 0.217 0.750 0.125 (multiplicity 8)

Output
final energy: -3.041 eV/atom

No. 6
# Nd5Te2Cl3O10

Crystalline Nd5Te2Cl3O10 at its relaxed geometry (PBE, OQMD via LeMat-Bulk).

Cell lengths 12.690, 5.641, 10.039 Å; angles 90.00, 91.02, 90.00 degrees
Space group C2/m (No. 12)
Symmetry-distinct sites (fractional):
Nd: 0.000 0.000 0.000 (multiplicity 2)
Nd: 0.104 0.500 0.235 (multiplicity 4)
Nd: 0.207 0.500 0.893 (multiplicity 4)
Te: 0.081 0.000 0.666 (multiplicity 4)
Cl: 0.000 0.500 0.500 (multiplicity 2)
Cl: 0.164 0.000 0.356 (multiplicity 4)
O: 0.051 0.243 0.794 (multiplicity 8)
O: 0.147 0.253 0.060 (multiplicity 8)
O: 0.223 0.000 0.706 (multiplicity 4)

Output
total magnetic moment: 0.0001 μB per atom
final energy: -6.851 eV/atom

No. 7
# MgNiH3

Crystalline MgNiH3 at its relaxed geometry (PBE, OQMD via LeMat-Bulk).

Cell lengths 4.476, 4.455, 9.301 Å; angles 90.00, 118.60, 90.00 degrees
Space group P2_1/c (No. 14)
Symmetry-distinct sites (fractional):
Mg: 0.242 0.250 0.242 (multiplicity 4)
Ni: 0.431 0.750 0.431 (multiplicity 4)
H: 0.238 0.750 0.240 (multiplicity 4)
H: 0.262 0.001 0.000 (multiplicity 4)
H: 0.264 0.501 0.002 (multiplicity 4)

Output
total magnetic moment: 0.0009 μB per atom
E above lowest polymorph: 0.000 eV/atom

No. 8
# SmScO3

Crystalline SmScO3 at its relaxed geometry (PBE, OQMD via LeMat-Bulk).

Cell lengths 5.778, 7.954, 5.511 Å; angles 90.00, 90.00, 90.00 degrees
Space group Pnma (No. 62)
Symmetry-distinct sites (fractional):
Sm: 0.060 0.250 0.017 (multiplicity 4)
Sc: 0.000 0.000 0.500 (multiplicity 4)
O: 0.047 0.750 0.382 (multiplicity 4)
O: 0.196 0.562 0.806 (multiplicity 8)

Output
total magnetic moment: 0.0000 μB per atom
final energy: -8.683 eV/atom

No. 9
# SrFeCoAs2

Crystalline SrFeCoAs2 at its relaxed geometry (PBE, OQMD via LeMat-Bulk).

Cell lengths 3.908, 3.908, 11.836 Å; angles 90.00, 90.00, 90.00 degrees
Space group I-4m2 (No. 119)
Symmetry-distinct sites (fractional):
Sr: 0.000 0.000 0.000 (multiplicity 2)
Fe: 0.000 0.500 0.250 (multiplicity 2)
Co: 0.000 0.500 0.750 (multiplicity 2)
As: 0.000 0.000 0.356 (multiplicity 4)

Output
total magnetic moment: 0.0003 μB per atom
final energy: -5.876 eV/atom

No. 10
# TmHgBi

Crystalline TmHgBi at its relaxed geometry (PBE, OQMD via LeMat-Bulk).

Cell lengths 7.267, 7.267, 7.267 Å; angles 90.00, 90.00, 90.00 degrees
Space group F-43m (No. 216)
Symmetry-distinct sites (fractional):
Tm: 0.000 0.000 0.000 (multiplicity 4)
Hg: 0.250 0.250 0.250 (multiplicity 4)
Bi: 0.250 0.250 0.750 (multiplicity 4)

Output
total magnetic moment: 0.0001 μB per atom
E above lowest polymorph: 0.000 eV/atom

No. 11
# ZrCdAg2

Crystalline ZrCdAg2 at its relaxed geometry (PBE, OQMD via LeMat-Bulk).

Cell lengths 6.776, 6.776, 6.776 Å; angles 90.00, 90.00, 90.00 degrees
Space group F-43m (No. 216)
Symmetry-distinct sites (fractional):
Zr: 0.000 0.000 0.000 (multiplicity 4)
Cd: 0.250 0.250 0.250 (multiplicity 4)
Ag: 0.000 0.000 0.500 (multiplicity 4)
Ag: 0.250 0.250 0.750 (multiplicity 4)

Output
total magnetic moment: 0.0021 μB per atom
ΔH_f (0 K): -13 kJ/mol of formula units

No. 12
# NaLaFeMo

Crystalline NaLaFeMo at its relaxed geometry (PBE, OQMD via LeMat-Bulk).

Cell lengths 6.683, 6.683, 6.683 Å; angles 90.00, 90.00, 90.00 degrees
Space group F-43m (No. 216)
Symmetry-distinct sites (fractional):
Na: 0.000 0.000 0.000 (multiplicity 4)
La: 0.250 0.250 0.250 (multiplicity 4)
Fe: 0.250 0.250 0.750 (multiplicity 4)
Mo: 0.000 0.000 0.500 (multiplicity 4)

Output
total magnetic moment: 0.5251 μB per atom
E above lowest polymorph: 0.000 eV/atom

No. 13
# TaBi

Crystalline TaBi at its relaxed geometry (PBE, OQMD via LeMat-Bulk).

Cell lengths 3.6392, 3.6392, 3.9672 Å; angles 90.00, 90.00, 120.00 degrees
Space group P-6m2 (No. 187)
Symmetry-distinct sites (fractional):
Ta: 0.0000 0.0000 0.0000 (multiplicity 1)
Bi: 0.3333 0.6667 0.5000 (multiplicity 1)

Output
total magnetic moment: 0.0001 μB per atom
final energy: -7.376 eV/atom

No. 14
# Nd2Sm2CCl2F3

Crystalline Nd2Sm2CCl2F3 at its relaxed geometry (PBE, OQMD via LeMat-Bulk).

Cell lengths 15.561, 3.702, 6.945 Å; angles 90.00, 101.90, 90.00 degrees
Space group C2/m (No. 12)
Symmetry-distinct sites (fractional):
Nd: 0.026 0.000 0.267 (multiplicity 4)
Sm: 0.158 0.500 0.637 (multiplicity 4)
C: 0.000 0.500 0.500 (multiplicity 2)
Cl: 0.156 0.000 0.935 (multiplicity 4)
F: 0.000 0.500 0.000 (multiplicity 2)
F: 0.187 0.000 0.427 (multiplicity 4)

Output
total magnetic moment: 0.0197 μB per atom
final energy: -5.991 eV/atom

No. 15
# BeCdFeSn

Crystalline BeCdFeSn at its relaxed geometry (PBE, OQMD via LeMat-Bulk).

Cell lengths 6.317, 6.317, 6.317 Å; angles 90.00, 90.00, 90.00 degrees
Space group F-43m (No. 216)
Symmetry-distinct sites (fractional):
Be: 0.000 0.000 0.000 (multiplicity 4)
Cd: 0.250 0.250 0.750 (multiplicity 4)
Fe: 0.000 0.000 0.500 (multiplicity 4)
Sn: 0.250 0.250 0.250 (multiplicity 4)

Output
total magnetic moment: 0.3881 μB per atom
E above lowest polymorph: 0.000 eV/atom

No. 16
# HoTmLu2

Crystalline HoTmLu2 at its relaxed geometry (PBE, OQMD via LeMat-Bulk).

Cell lengths 5.490, 7.071, 12.245 Å; angles 90.00, 90.00, 90.00 degrees
Space group Amm2 (No. 38)
Symmetry-distinct sites (fractional):
Ho: 0.000 0.000 0.000 (multiplicity 2)
Ho: 0.500 0.000 0.334 (multiplicity 2)
Tm: 0.000 0.249 0.750 (multiplicity 4)
Lu: 0.000 0.000 0.501 (multiplicity 2)
Lu: 0.500 0.000 0.833 (multiplicity 2)
Lu: 0.500 0.249 0.584 (multiplicity 4)

Output
total magnetic moment: 0.0051 μB per atom
ΔH_f (0 K): 0 kJ/mol of formula units

No. 17
# CsZnBr3

Crystalline CsZnBr3 at its relaxed geometry (PBE, OQMD via LeMat-Bulk).

Cell lengths 5.945, 8.149, 8.162 Å; angles 79.36, 89.64, 89.65 degrees
Space group P-1 (No. 2)
Symmetry-distinct sites (fractional):
Cs: 0.239 0.315 0.315 (multiplicity 2)
Zn: 0.500 0.163 0.838 (multiplicity 2)
Br: 0.269 0.405 0.831 (multiplicity 2)
Br: 0.269 0.829 0.404 (multiplicity 2)
Br: 0.284 0.896 0.895 (multiplicity 2)

Output
final energy: -2.722 eV/atom

No. 18
# HgMoIr2

Crystalline HgMoIr2 at its relaxed geometry (PBE, OQMD via LeMat-Bulk).

Cell lengths 6.395, 6.395, 6.395 Å; angles 90.00, 90.00, 90.00 degrees
Space group F-43m (No. 216)
Symmetry-distinct sites (fractional):
Hg: 0.000 0.000 0.000 (multiplicity 4)
Mo: 0.250 0.250 0.250 (multiplicity 4)
Ir: 0.000 0.000 0.500 (multiplicity 4)
Ir: 0.250 0.250 0.750 (multiplicity 4)

Output
total magnetic moment: 0.0812 μB per atom
ΔH_f (0 K): 226 kJ/mol of formula units

No. 19
# Ta2InB

Crystalline Ta2InB at its relaxed geometry (PBE, OQMD via LeMat-Bulk).

Cell lengths 3.2230, 3.2230, 14.6114 Å; angles 90.00, 90.00, 120.00 degrees
Space group P6_3/mmc (No. 194)
Symmetry-distinct sites (fractional):
Ta: 0.3333 0.6667 0.0850 (multiplicity 4)
In: 0.3333 0.6667 0.7500 (multiplicity 2)
B: 0.0000 0.0000 0.0000 (multiplicity 2)

Output
total magnetic moment: 0.0002 μB per atom
final energy: -8.668 eV/atom

No. 20
# Gd2CuTe3

Crystalline Gd2CuTe3 at its relaxed geometry (PBE, OQMD via LeMat-Bulk).

Cell lengths 4.167, 14.222, 11.281 Å; angles 90.00, 90.00, 90.00 degrees
Space group Cmcm (No. 63)
Symmetry-distinct sites (fractional):
Gd: 0.000 0.000 0.000 (multiplicity 4)
Gd: 0.000 0.230 0.250 (multiplicity 4)
Cu: 0.000 0.470 0.750 (multiplicity 4)
Te: 0.000 0.095 0.750 (multiplicity 4)
Te: 0.000 0.350 0.572 (multiplicity 8)

Output
total magnetic moment: 0.0011 μB per atom
final energy: -4.775 eV/atom

No. 21
# YBeInPt

Crystalline YBeInPt at its relaxed geometry (PBE, OQMD via LeMat-Bulk).

Cell lengths 6.678, 6.678, 6.678 Å; angles 90.00, 90.00, 90.00 degrees
Space group F-43m (No. 216)
Symmetry-distinct sites (fractional):
Y: 0.000 0.000 0.000 (multiplicity 4)
Be: 0.250 0.250 0.250 (multiplicity 4)
In: 0.000 0.000 0.500 (multiplicity 4)
Pt: 0.250 0.250 0.750 (multiplicity 4)

Output
total magnetic moment: 0.0000 μB per atom
E above lowest polymorph: 0.000 eV/atom

No. 22
# GdDy2Ga3FeGe2

Crystalline GdDy2Ga3FeGe2 at its relaxed geometry (PBE, OQMD via LeMat-Bulk).

Cell lengths 4.156, 12.102, 6.972 Å; angles 90.00, 90.00, 90.00 degrees
Space group Amm2 (No. 38)
Symmetry-distinct sites (fractional):
Gd: 0.000 0.000 0.000 (multiplicity 2)
Dy: 0.000 0.200 0.401 (multiplicity 4)
Ga: 0.500 0.000 0.374 (multiplicity 2)
Ga: 0.500 0.113 0.713 (multiplicity 4)
Fe: 0.000 0.000 0.599 (multiplicity 2)
Ge: 0.500 0.167 0.100 (multiplicity 4)

Output
total magnetic moment: 0.0003 μB per atom
final energy: -5.143 eV/atom

No. 23
# KNdCoSe3

Crystalline KNdCoSe3 at its relaxed geometry (PBE, OQMD via LeMat-Bulk).

Cell lengths 17.128, 4.383, 8.780 Å; angles 90.00, 103.51, 90.00 degrees
Space group C2/m (No. 12)
Symmetry-distinct sites (fractional):
K: 0.144 0.000 0.073 (multiplicity 4)
Nd: 0.168 0.000 0.594 (multiplicity 4)
Co: 0.001 0.500 0.734 (multiplicity 4)
Se: 0.000 0.000 0.500 (multiplicity 2)
Se: 0.000 0.500 0.000 (multiplicity 2)
Se: 0.151 0.500 0.804 (multiplicity 4)
Se: 0.154 0.500 0.354 (multiplicity 4)

Output
total magnetic moment: 0.3358 μB per atom
E above lowest polymorph: 0.190 eV/atom

No. 24
# NdZnInSe3

Crystalline NdZnInSe3 at its relaxed geometry (PBE, OQMD via LeMat-Bulk).

Cell lengths 4.176, 14.686, 11.255 Å; angles 90.00, 90.00, 90.00 degrees
Space group Cmcm (No. 63)
Symmetry-distinct sites (fractional):
Nd: 0.000 0.000 0.000 (multiplicity 4)
Zn: 0.000 0.465 0.250 (multiplicity 4)
In: 0.000 0.246 0.750 (multiplicity 4)
Se: 0.000 0.069 0.250 (multiplicity 4)
Se: 0.000 0.368 0.071 (multiplicity 8)

Output
total magnetic moment: 0.0000 μB per atom
E above lowest polymorph: 0.001 eV/atom